Density functional theory data (PBE-GGA) for crystalline ScS at its relaxed geometry.

Cell and atoms, written as extended XYZ:
```
8
Lattice="-4.145 4.145 2.546 4.145 -4.145 2.546 4.145 4.145 -2.546" Properties=species:S:1:pos:R:3 pbc="T T T"
Sc 2.661 0.928 0.000
Sc 3.218 -1.484 2.546
Sc 0.928 5.630 0.000
Sc 1.484 3.218 2.546
S 5.023 1.671 0.000
S 1.671 3.268 0.000
S 2.474 0.878 2.546
S -0.878 2.474 2.546
```

Calculated values
E_form (uncorrected) (eV per atom): -1.6908

Density functional theory data (PBE-GGA) for crystalline FePb at its relaxed geometry.

Cell and atoms, written as extended XYZ:
```
6
Lattice="6.701 -1.624 0.000 6.701 1.624 0.000 -3.214 0.000 5.738" Properties=species:S:1:pos:R:3 pbc="T T T"
Fe 0.000 0.000 0.000
Fe 4.975 0.000 0.699
Fe 6.989 0.000 1.840
Pb 1.824 0.000 3.672
Pb 9.314 0.000 0.340
Pb 11.646 0.000 3.116
```

Calculated values
ΔE_f (eV/f.u.): 0.79

Density functional theory data (PBE-GGA) for crystalline Rb2LaReBr6 at its relaxed geometry.

Cell and atoms, written as extended XYZ:
```
10
Lattice="0.000 5.493 5.493 5.493 0.000 5.493 5.493 5.493 0.000" Properties=species:S:1:pos:R:3 pbc="T T T"
Rb 2.746 2.746 2.746
Rb 8.239 8.239 8.239
La 0.000 0.000 0.000
Re 5.493 5.493 5.493
Br 5.493 5.493 2.920
Br 5.493 2.920 5.493
Br 8.065 5.493 5.493
Br 2.920 5.493 5.493
Br 5.493 8.065 5.493
Br 5.493 5.493 8.065
```

Calculated values
E_form (uncorrected) (eV per atom): -1.0467

Density functional theory data (PBE-GGA) for crystalline BaSb3O at its relaxed geometry.

Cell and atoms, written as extended XYZ:
```
5
Lattice="5.037 0.000 0.000 0.000 5.037 0.000 0.000 0.000 5.037" Properties=species:S:1:pos:R:3 pbc="T T T"
Ba 0.000 0.000 0.000
Sb 0.000 2.519 2.519
Sb 2.519 0.000 2.519
Sb 2.519 2.519 0.000
O 2.519 2.519 2.519
```

Calculated values
E_form (uncorrected) (eV per atom): -0.4917
Distance to the lowest polymorph of the same formula (eV/atom): 0.0000

Density functional theory data (PBE-GGA) for crystalline RbMo2AsRh at its relaxed geometry.

Cell and atoms, written as extended XYZ:
```
5
Lattice="4.818 0.000 0.000 0.000 4.818 0.000 0.000 0.000 5.798" Properties=species:S:1:pos:R:3 pbc="T T T"
Rb 0.000 0.000 0.000
Mo 0.000 2.409 2.899
Mo 2.409 0.000 2.899
As 2.409 2.409 0.000
Rh 0.000 0.000 2.899
```

Calculated values
ΔE_f (eV/f.u.): 8.32

Density functional theory data (PBE-GGA) for crystalline Pa2BiMo at its relaxed geometry.

Cell and atoms, written as extended XYZ:
```
4
Lattice="4.484 0.000 0.000 0.000 4.484 0.000 0.000 0.000 4.567" Properties=species:S:1:pos:R:3 pbc="T T T"
Pa 0.000 2.242 0.000
Pa 2.242 0.000 0.000
Bi 0.000 0.000 2.284
Mo 2.242 2.242 2.284
```

Calculated values
ΔE_f (eV/f.u.): 0.48
Distance to the lowest polymorph of the same formula (eV/atom): 0.0118